# Ba6PdAu

Ba6PdAu after structural relaxation (GGA-PBE, OQMD via LeMat-Bulk).

abc: 8.8978 8.8978 8.8978
angles: 53.11 53.11 53.11
Positions (direct):
1 Ba 0.0843 0.4065 0.7539
2 Ba 0.2461 0.9157 0.5935
3 Ba 0.4065 0.7539 0.0843
4 Ba 0.5935 0.2461 0.9157
5 Ba 0.7539 0.0843 0.4065
6 Ba 0.9157 0.5935 0.2461
7 Pd 0.0000 0.0000 0.0000
8 Au 0.5000 0.5000 0.5000

Computed properties:
Density in g/cm3: 4.5
Total DFT energy (no corrections) in eV/atom: -2.86


# BaPd3Au2

BaPd3Au2 after structural relaxation (GGA-PBE, OQMD via LeMat-Bulk).

abc: 5.7162 5.7162 4.4874
angles: 90.00 90.00 120.00
Positions (direct):
1 Ba 0.0000 0.0000 0.0000
2 Pd 0.0000 0.5000 0.5000
3 Pd 0.5000 0.0000 0.5000
4 Pd 0.5000 0.5000 0.5000
5 Au 0.3333 0.6667 0.0000
6 Au 0.6667 0.3333 0.0000

Computed properties:
Density in g/cm3: 11.1
Total DFT energy (no corrections) in eV/atom: -4.48


# Ba6PdAu2

Ba6PdAu2 after structural relaxation (GGA-PBE, OQMD via LeMat-Bulk).

abc: 7.9331 8.5554 13.7224
angles: 90.00 119.83 90.00
Positions (direct):
1 Ba 0.0757 0.0554 0.2428
2 Ba 0.0757 0.4446 0.7428
3 Ba 0.2545 0.6855 0.0840
4 Ba 0.2545 0.8145 0.5840
5 Ba 0.3845 0.1801 0.0641
6 Ba 0.3845 0.3199 0.5641
7 Ba 0.6155 0.6801 0.4359
8 Ba 0.6155 0.8199 0.9359
9 Ba 0.7455 0.1855 0.4160
10 Ba 0.7455 0.3145 0.9160
11 Ba 0.9243 0.5554 0.2572
12 Ba 0.9243 0.9446 0.7572
13 Pd 0.0000 0.0000 0.0000
14 Pd 0.0000 0.5000 0.5000
15 Au 0.3282 0.1127 0.7762
16 Au 0.3282 0.3873 0.2762
17 Au 0.6718 0.6127 0.7238
18 Au 0.6718 0.8873 0.2238

Computed properties:
Density in g/cm3: 5.4
Total DFT energy (no corrections) in eV/atom: -3.07


# BaPdPtAu3

BaPdPtAu3 after structural relaxation (GGA-PBE, OQMD via LeMat-Bulk).

abc: 5.7396 5.7396 4.5429
angles: 90.00 90.00 120.00
Positions (direct):
1 Ba 0.0000 0.0000 0.0000
2 Pd 0.6667 0.3333 0.0000
3 Pt 0.3333 0.6667 0.0000
4 Au 0.5003 0.0006 0.5000
5 Au 0.5003 0.4997 0.5000
6 Au 0.9994 0.4997 0.5000

Computed properties:
Density in g/cm3: 13.2
Total DFT energy (no corrections) in eV/atom: -4.29


# BaSbPdAu

BaSbPdAu after structural relaxation (GGA-PBE, OQMD via LeMat-Bulk).

abc: 5.2565 5.2565 5.2565
angles: 60.00 60.00 60.00
Positions (direct):
1 Ba 0.0000 0.0000 0.0000
2 Sb 0.7500 0.7500 0.7500
3 Pd 0.5000 0.5000 0.5000
4 Au 0.2500 0.2500 0.2500

Computed properties:
Density in g/cm3: 9.1
Total DFT energy (no corrections) in eV/atom: -3.88


# BaSbPdAu

BaSbPdAu after structural relaxation (GGA-PBE, OQMD via LeMat-Bulk).

abc: 5.2389 5.2389 5.2389
angles: 60.00 60.00 60.00
Positions (direct):
1 Ba 0.0000 0.0000 0.0000
2 Sb 0.5000 0.5000 0.5000
3 Pd 0.2500 0.2500 0.2500
4 Au 0.7500 0.7500 0.7500

Computed properties:
Density in g/cm3: 9.2
Total DFT energy (no corrections) in eV/atom: -4.02


# BaSbPdAu

BaSbPdAu after structural relaxation (GGA-PBE, OQMD via LeMat-Bulk).

abc: 5.2494 5.2494 5.2494
angles: 60.00 60.00 60.00
Positions (direct):
1 Ba 0.0000 0.0000 0.0000
2 Sb 0.2500 0.2500 0.2500
3 Pd 0.7500 0.7500 0.7500
4 Au 0.5000 0.5000 0.5000

Computed properties:
Density in g/cm3: 9.1
Total DFT energy (no corrections) in eV/atom: -3.81


# BaPmAu

BaPmAu after structural relaxation (GGA-PBE, OQMD via LeMat-Bulk).

abc: 5.1402 5.1402 5.1402
angles: 60.00 60.00 60.00
Positions (direct):
1 Ba 0.0000 0.0000 0.0000
2 Pm 0.7500 0.7500 0.7500
3 Au 0.5000 0.5000 0.5000

Computed properties:
Density in g/cm3: 8.3
Total DFT energy (no corrections) in eV/atom: -3.24


# BaPrAu2

BaPrAu2 after structural relaxation (GGA-PBE, OQMD via LeMat-Bulk).

abc: 4.9920 6.1257 7.7440
angles: 90.00 90.00 90.00
Positions (direct):
1 Ba 0.0000 0.1020 0.0000
2 Ba 0.0000 0.8980 0.5000
3 Pr 0.5000 0.3969 0.3717
4 Pr 0.5000 0.6031 0.8717
5 Au 0.0000 0.4121 0.6422
6 Au 0.0000 0.5879 0.1422
7 Au 0.5000 0.1170 0.7226
8 Au 0.5000 0.8830 0.2226

Computed properties:
Density in g/cm3: 9.4
Total DFT energy (no corrections) in eV/atom: -3.99


# BaPrAu

BaPrAu after structural relaxation (GGA-PBE, OQMD via LeMat-Bulk).

abc: 5.3997 5.3997 5.3997
angles: 60.00 60.00 60.00
Positions (direct):
1 Ba 0.0000 0.0000 0.0000
2 Pr 0.5000 0.5000 0.5000
3 Au 0.2500 0.2500 0.2500

Computed properties:
Density in g/cm3: 7.1
Total DFT energy (no corrections) in eV/atom: -3.57


# BaPrAu2

BaPrAu2 after structural relaxation (GGA-PBE, OQMD via LeMat-Bulk).

abc: 4.9718 7.9099 6.0660
angles: 90.00 90.00 90.00
Positions (direct):
1 Ba 0.0000 0.0638 0.0000
2 Ba 0.5000 0.9362 0.5000
3 Pr 0.0000 0.5611 0.7953
4 Pr 0.5000 0.4389 0.2953
5 Au 0.0000 0.2465 0.4964
6 Au 0.0000 0.6771 0.3016
7 Au 0.5000 0.3229 0.8016
8 Au 0.5000 0.7535 0.9964

Computed properties:
Density in g/cm3: 9.4
Total DFT energy (no corrections) in eV/atom: -4.04


# BaPr3Au4

BaPr3Au4 after structural relaxation (GGA-PBE, OQMD via LeMat-Bulk).

abc: 6.0111 4.8896 7.6275
angles: 90.00 91.83 90.00
Positions (direct):
1 Ba 0.0000 0.0000 0.0000
2 Pr 0.2883 0.5000 0.3766
3 Pr 0.5021 0.5000 0.8644
4 Pr 0.7843 0.0000 0.5039
5 Au 0.3054 0.0000 0.6351
6 Au 0.5007 0.0000 0.1531
7 Au 0.7801 0.5000 0.2465
8 Au 0.9925 0.5000 0.7030

Computed properties:
Density in g/cm3: 10.0
Total DFT energy (no corrections) in eV/atom: -4.40